KMg14Al | PBE | optimized geometry

Results
calculated formation energy = 0.105 eV per atom
total DFT energy (no corrections) = -1.59 eV per atom
crystal system = hexagonal
volume = 24.13 Å³/atom
spin magnetization = 0.0 Bohr magnetons per cell

a b c (Å): 6.526 6.526 10.465
angles (deg): 90.00 90.00 120.00
Sites, in units of the cell vectors:
1 Mg 0.667 0.333 0.742
2 Mg 0.495 0.991 0.500
3 Mg 0.495 0.505 0.500
4 Mg 0.662 0.831 0.768
5 Mg 0.009 0.505 0.500
6 Mg 0.169 0.831 0.768
7 Mg 0.505 0.010 0.000
8 Mg 0.169 0.338 0.768
9 Mg 0.667 0.333 0.258
10 Mg 0.505 0.495 0.000
11 Mg 0.662 0.831 0.232
12 Mg 0.169 0.831 0.232
13 Mg 0.169 0.338 0.232
14 Mg 0.990 0.495 0.000
15 Al 0.000 0.000 0.000
16 K 0.000 0.000 0.500

***

PrZn4Ag | PBE | optimized geometry

Results
calculated formation energy = -0.174 eV per atom
total DFT energy (no corrections) = -2.29 eV per atom
crystal system = orthorhombic
volume = 19.58 Å³/atom
spin magnetization = 0.0 Bohr magnetons per cell

a b c (Å): 3.473 8.302 16.297
angles (deg): 90.00 90.00 90.00
Sites, in units of the cell vectors:
1 Zn 0.500 0.874 0.038
2 Zn 0.500 0.126 0.962
3 Zn 0.500 0.625 0.951
4 Zn 0.500 0.787 0.190
5 Zn 0.500 0.875 0.451
6 Zn 0.500 0.475 0.195
7 Zn 0.500 0.975 0.305
8 Zn 0.500 0.713 0.690
9 Zn 0.500 0.213 0.810
10 Zn 0.500 0.287 0.310
11 Zn 0.500 0.374 0.462
12 Zn 0.500 0.025 0.695
13 Zn 0.500 0.375 0.049
14 Zn 0.500 0.626 0.538
15 Zn 0.500 0.125 0.549
16 Zn 0.500 0.525 0.805
17 Ag 0.000 0.370 0.914
18 Ag 0.000 0.870 0.586
19 Ag 0.000 0.630 0.086
20 Ag 0.000 0.130 0.414
21 Pr 0.000 0.624 0.347
22 Pr 0.000 0.376 0.653
23 Pr 0.000 0.876 0.847
24 Pr 0.000 0.124 0.153